No. 1
First-principles (PBE) data for Nd3Dy8Y after structural relaxation, as listed in Alexandria via LeMat-Bulk.

a = 7.1582 Å, b = 7.1582 Å, c = 8.0027 Å
α = 102.88°, β = 102.88°, γ = 90.13°
Element x y z (fractional)
1 Nd 0.0000 0.0000 0.0000
2 Nd 0.1663 0.6666 0.6655
3 Nd 0.6666 0.1663 0.6655
4 Dy 0.0005 0.5005 0.0019
5 Dy 0.1666 0.1666 0.6656
6 Dy 0.3334 0.8326 0.3315
7 Dy 0.3337 0.3337 0.3333
8 Dy 0.5005 0.0005 0.0019
9 Dy 0.6658 0.6658 0.6639
10 Dy 0.8326 0.3334 0.3315
11 Dy 0.8330 0.8330 0.3328
12 Y 0.5003 0.5003 0.0006

- volume (Å³ per cell) = 389
- calculated formation energy (eV/atom) = 0.018
- total DFT energy (no corrections) (eV per atom) = -4.78
- total moment (Bohr magnetons per cell) = 0.000



No. 2
First-principles (PBE) data for BeFeB3 after structural relaxation, as listed in Alexandria via LeMat-Bulk.

a = 3.4139 Å, b = 3.4139 Å, c = 3.4139 Å
α = 90.00°, β = 90.00°, γ = 90.00°
Element x y z (fractional)
1 Be 0.0000 0.0000 0.0000
2 Fe 0.5000 0.5000 0.5000
3 B 0.0000 0.0000 0.5000
4 B 0.0000 0.5000 0.0000
5 B 0.5000 0.0000 0.0000

- volume (Å³ per cell) = 40
- calculated formation energy (eV/atom) = 1.461
- total DFT energy (no corrections) (eV per atom) = -4.98
- polymorph energy (0 for the lowest one) (eV/f.u.) = 1.97
- total moment (Bohr magnetons per cell) = 0.024



No. 3
First-principles (PBE) data for In3Hg8 after structural relaxation, as listed in Alexandria via LeMat-Bulk.

a = 6.0715 Å, b = 6.0715 Å, c = 12.9785 Å
α = 110.90°, β = 110.90°, γ = 41.64°
Element x y z (fractional)
1 In 0.0000 0.0000 0.0000
2 In 0.0936 0.0936 0.6415
3 In 0.9064 0.9064 0.3585
4 Hg 0.1788 0.1788 0.2733
5 Hg 0.2735 0.2735 0.9097
6 Hg 0.3638 0.3638 0.5433
7 Hg 0.4536 0.4536 0.1813
8 Hg 0.5464 0.5464 0.8187
9 Hg 0.6362 0.6362 0.4567
10 Hg 0.7265 0.7265 0.0903
11 Hg 0.8212 0.8212 0.7267

- volume (Å³ per cell) = 294
- calculated formation energy (eV/atom) = -0.001
- total DFT energy (no corrections) (eV per atom) = -0.97
- polymorph energy (0 for the lowest one) (eV/f.u.) = 0.00
- total moment (Bohr magnetons per cell) = 0.000



No. 4
First-principles (PBE) data for SrAlSb2 after structural relaxation, as listed in Alexandria via LeMat-Bulk.

a = 6.5866 Å, b = 7.0204 Å, c = 12.3680 Å
α = 90.00°, β = 114.60°, γ = 90.00°
Element x y z (fractional)
1 Sr 0.1653 0.2482 0.1297
2 Sr 0.1653 0.7518 0.6297
3 Sr 0.8347 0.2482 0.3703
4 Sr 0.8347 0.7518 0.8703
5 Al 0.3013 0.0940 0.8877
6 Al 0.3013 0.9060 0.3877
7 Al 0.6987 0.0940 0.6123
8 Al 0.6987 0.9060 0.1123
9 Sb 0.1266 0.2587 0.6705
10 Sb 0.1266 0.7413 0.1705
11 Sb 0.3786 0.2818 0.4305
12 Sb 0.3786 0.7182 0.9305
13 Sb 0.6214 0.2818 0.0695
14 Sb 0.6214 0.7182 0.5695
15 Sb 0.8734 0.2587 0.8295
16 Sb 0.8734 0.7413 0.3295

- volume (Å³ per cell) = 520
- formation energy from raw total energies (eV/atom) = -0.479
- total DFT energy (no corrections) (eV per atom) = -3.90
- total moment (Bohr magnetons per cell) = 0.000



No. 5
First-principles (PBE) data for BaMnBe2 after structural relaxation, as listed in Alexandria via LeMat-Bulk.

a = 6.3089 Å, b = 6.3089 Å, c = 6.3089 Å
α = 36.77°, β = 36.77°, γ = 36.77°
Element x y z (fractional)
1 Ba 0.0000 0.0000 0.0000
2 Mn 0.1871 0.1871 0.1871
3 Be 0.4968 0.4968 0.4968
4 Be 0.8198 0.8198 0.8198

- volume (Å³ per cell) = 81
- calculated formation energy (eV/atom) = 0.294
- total DFT energy (no corrections) (eV per atom) = -4.34
- polymorph energy (0 for the lowest one) (eV/f.u.) = 0.00
- total moment (Bohr magnetons per cell) = 2.735



No. 6
First-principles (PBE) data for SrMgPa2N4 after structural relaxation, as listed in Alexandria via LeMat-Bulk.

a = 6.2149 Å, b = 6.2149 Å, c = 11.8352 Å
α = 90.00°, β = 90.00°, γ = 146.08°
Element x y z (fractional)
1 Sr 0.0921 0.9079 0.7500
2 Sr 0.9079 0.0921 0.2500
3 Mg 0.1716 0.8284 0.2500
4 Mg 0.8284 0.1716 0.7500
5 Pa 0.3723 0.6277 0.5492
6 Pa 0.3723 0.6277 0.9508
7 Pa 0.6277 0.3723 0.0492
8 Pa 0.6277 0.3723 0.4508
9 N 0.0000 0.0000 0.0000
10 N 0.0000 0.0000 0.5000
11 N 0.2561 0.7439 0.1002
12 N 0.2561 0.7439 0.3998
13 N 0.4201 0.5799 0.7500
14 N 0.5799 0.4201 0.2500
15 N 0.7439 0.2561 0.6002
16 N 0.7439 0.2561 0.8998

- volume (Å³ per cell) = 255
- formation energy from raw total energies (eV/atom) = -1.229
- total DFT energy (no corrections) (eV per atom) = -8.17
- total moment (Bohr magnetons per cell) = 2.300



No. 7
First-principles (PBE) data for LaNd2Si after structural relaxation, as listed in Alexandria via LeMat-Bulk.

a = 11.2787 Å, b = 11.2787 Å, c = 11.2787 Å
α = 19.22°, β = 19.22°, γ = 19.22°
Element x y z (fractional)
1 La 0.0000 0.0000 0.0000
2 Nd 0.1090 0.1090 0.1090
3 Nd 0.8910 0.8910 0.8910
4 Si 0.5000 0.5000 0.5000

- volume (Å³ per cell) = 136
- formation energy from raw total energies (eV/atom) = -0.014
- total DFT energy (no corrections) (eV per atom) = -4.99
- polymorph energy (0 for the lowest one) (eV/f.u.) = 1.40
- total moment (Bohr magnetons per cell) = 0.013



No. 8
First-principles (PBE) data for BeCr3Pt after structural relaxation, as listed in Alexandria via LeMat-Bulk.

a = 3.9353 Å, b = 3.9353 Å, c = 3.9353 Å
α = 90.00°, β = 90.00°, γ = 90.00°
Element x y z (fractional)
1 Be 0.0000 0.0000 0.0000
2 Cr 0.0000 0.0000 0.5000
3 Cr 0.0000 0.5000 0.0000
4 Cr 0.5000 0.0000 0.0000
5 Pt 0.5000 0.5000 0.5000

- volume (Å³ per cell) = 61
- calculated formation energy (eV/atom) = 0.578
- total DFT energy (no corrections) (eV per atom) = -7.15
- polymorph energy (0 for the lowest one) (eV/f.u.) = 0.00
- total moment (Bohr magnetons per cell) = 0.007



No. 9
First-principles (PBE) data for Ce2SnS5 after structural relaxation, as listed in Alexandria via LeMat-Bulk.

a = 7.7243 Å, b = 11.4952 Å, c = 3.9704 Å
α = 90.00°, β = 90.00°, γ = 90.00°
Element x y z (fractional)
1 Ce 0.0390 0.1728 0.0000
2 Ce 0.4610 0.6728 0.0000
3 Ce 0.5390 0.3272 0.0000
4 Ce 0.9610 0.8272 0.0000
5 Sn 0.0000 0.5000 0.5000
6 Sn 0.5000 0.0000 0.5000
7 S 0.0000 0.0000 0.5000
8 S 0.1718 0.6988 0.5000
9 S 0.1768 0.4075 0.0000
10 S 0.3232 0.9075 0.0000
11 S 0.3282 0.1988 0.5000
12 S 0.5000 0.5000 0.5000
13 S 0.6718 0.8012 0.5000
14 S 0.6768 0.0925 0.0000
15 S 0.8232 0.5925 0.0000
16 S 0.8282 0.3012 0.5000

- volume (Å³ per cell) = 353
- formation energy from raw total energies (eV/atom) = -1.427
- total DFT energy (no corrections) (eV per atom) = -5.99
- polymorph energy (0 for the lowest one) (eV/f.u.) = 0.00
- total moment (Bohr magnetons per cell) = 3.097



No. 10
First-principles (PBE) data for Ti5AlZn2 after structural relaxation, as listed in Alexandria via LeMat-Bulk.

a = 7.4186 Å, b = 7.4186 Å, c = 7.4186 Å
α = 124.33°, β = 124.33°, γ = 82.65°
Element x y z (fractional)
1 Ti 0.0000 0.0000 0.0000
2 Ti 0.0030 0.5030 0.1864
3 Ti 0.1834 0.9970 0.5000
4 Ti 0.3166 0.8166 0.8136
5 Ti 0.4970 0.6834 0.5000
6 Ti 0.5000 0.5000 0.0000
7 Ti 0.5030 0.3166 0.5000
8 Ti 0.6834 0.1834 0.1864
9 Ti 0.8166 0.0030 0.5000
10 Ti 0.9970 0.4970 0.8136
11 Al 0.2500 0.2500 0.0000
12 Al 0.7500 0.7500 0.0000
13 Zn 0.1371 0.3629 0.5000
14 Zn 0.3629 0.8629 0.2257
15 Zn 0.6371 0.1371 0.7743
16 Zn 0.8629 0.6371 0.5000

- volume (Å³ per cell) = 267
- calculated formation energy (eV/atom) = -0.103
- total DFT energy (no corrections) (eV per atom) = -5.82
- polymorph energy (0 for the lowest one) (eV/f.u.) = 1.06
- total moment (Bohr magnetons per cell) = 7.628



No. 11
First-principles (PBE) data for In2Fe2P after structural relaxation, as listed in Alexandria via LeMat-Bulk.

a = 5.9351 Å, b = 5.9351 Å, c = 4.3763 Å
α = 90.00°, β = 90.00°, γ = 90.00°
Element x y z (fractional)
1 In 0.1653 0.3347 0.0000
2 In 0.3347 0.8347 0.0000
3 In 0.6653 0.1653 0.0000
4 In 0.8347 0.6653 0.0000
5 Fe 0.1609 0.6609 0.5000
6 Fe 0.3391 0.1609 0.5000
7 Fe 0.6609 0.8391 0.5000
8 Fe 0.8391 0.3391 0.5000
9 P 0.0000 0.0000 0.5000
10 P 0.5000 0.5000 0.5000

- volume (Å³ per cell) = 154
- calculated formation energy (eV/atom) = 0.118
- total DFT energy (no corrections) (eV per atom) = -5.44
- total moment (Bohr magnetons per cell) = 0.000



No. 12
First-principles (PBE) data for GeSb2TeW after structural relaxation, as listed in Alexandria via LeMat-Bulk.

a = 5.1971 Å, b = 5.1971 Å, c = 5.2532 Å
α = 90.00°, β = 90.00°, γ = 90.00°
Element x y z (fractional)
1 Ge 0.0000 0.0000 0.0000
2 Sb 0.0000 0.5000 0.0000
3 Sb 0.5000 0.0000 0.0000
4 Te 0.0000 0.0000 0.5000
5 W 0.5000 0.5000 0.5000

- volume (Å³ per cell) = 142
- formation energy from raw total energies (eV/atom) = 1.517
- total DFT energy (no corrections) (eV per atom) = -4.27
- polymorph energy (0 for the lowest one) (eV/f.u.) = 3.42
- total moment (Bohr magnetons per cell) = 2.894